No. 1
# GGA-PBE Pr2Os3, optimized geometry
data_Pr2Os3
_cell_length_a 4.0464
_cell_length_b 4.0464
_cell_length_c 8.8866
_cell_angle_alpha 90.00
_cell_angle_beta 90.00
_cell_angle_gamma 120.00
_symmetry_space_group_name_H-M 'P -3 m 1'
_symmetry_Int_Tables_number 164
_symmetry_space_group_name_Hall '-P 3 2"'
loop_
_atom_site_label
_atom_site_fract_x
_atom_site_fract_y
_atom_site_fract_z
Pr1 0.3333 0.6667 0.1916
Os1 0.0000 0.0000 0.0000
Os2 0.3333 0.6667 0.5306
# - total magnetic moment (μB/atom) = 0.083
# - ΔE_f (eV per atom) = 0.468

=====

No. 2
# GGA-PBE PrPuOs, optimized geometry
data_PrPuOs
_cell_length_a 6.760
_cell_length_b 6.760
_cell_length_c 6.760
_cell_angle_alpha 90.00
_cell_angle_beta 90.00
_cell_angle_gamma 90.00
_symmetry_space_group_name_H-M 'F -4 3 m'
_symmetry_Int_Tables_number 216
_symmetry_space_group_name_Hall 'F -4 2 3'
loop_
_atom_site_label
_atom_site_fract_x
_atom_site_fract_y
_atom_site_fract_z
Pr1 0.000 0.000 0.000
Pu1 0.000 0.000 0.500
Os1 0.250 0.250 0.250
# - total magnetic moment (μB/atom) = 1.756
# - E above lowest polymorph (meV per atom) = 208
# - ΔE_f (eV per atom) = 0.076

=====

No. 3
# GGA-PBE PrPuOs, optimized geometry
data_PrPuOs
_cell_length_a 7.722
_cell_length_b 4.424
_cell_length_c 8.611
_cell_angle_alpha 90.00
_cell_angle_beta 90.00
_cell_angle_gamma 90.00
_symmetry_space_group_name_H-M 'P n m a'
_symmetry_Int_Tables_number 62
loop_
_symmetry_equiv_pos_as_xyz
'x,y,z'
'-x,-y,-z'
'-x+1/2,-y,z+1/2'
'x+1/2,y,-z+1/2'
'x+1/2,-y+1/2,-z+1/2'
'-x+1/2,y+1/2,z+1/2'
'-x,y+1/2,-z'
'x,-y+1/2,z'
loop_
_atom_site_label
_atom_site_fract_x
_atom_site_fract_y
_atom_site_fract_z
Pr1 0.019 0.250 0.173
Pu1 0.151 0.250 0.573
Os1 0.216 0.750 0.388
# - total magnetic moment (μB/atom) = 1.724
# - E above lowest polymorph (meV per atom) = 0
# - ΔE_f (eV per atom) = -0.131

=====

No. 4
# GGA-PBE RbPrOs, optimized geometry
data_RbPrOs
_cell_length_a 7.140
_cell_length_b 7.140
_cell_length_c 7.140
_cell_angle_alpha 90.00
_cell_angle_beta 90.00
_cell_angle_gamma 90.00
_symmetry_space_group_name_H-M 'F -4 3 m'
_symmetry_Int_Tables_number 216
_symmetry_space_group_name_Hall 'F -4 2 3'
loop_
_atom_site_label
_atom_site_fract_x
_atom_site_fract_y
_atom_site_fract_z
Rb1 0.000 0.000 0.000
Pr1 0.000 0.000 0.500
Os1 0.250 0.250 0.750
# - total magnetic moment (μB/atom) = 0.000
# - E above lowest polymorph (meV per atom) = 0

=====

No. 5
# GGA-PBE PrSbOs, optimized geometry
data_PrSbOs
_cell_length_a 6.718
_cell_length_b 6.718
_cell_length_c 6.718
_cell_angle_alpha 90.00
_cell_angle_beta 90.00
_cell_angle_gamma 90.00
_symmetry_space_group_name_H-M 'F -4 3 m'
_symmetry_Int_Tables_number 216
_symmetry_space_group_name_Hall 'F -4 2 3'
loop_
_atom_site_label
_atom_site_fract_x
_atom_site_fract_y
_atom_site_fract_z
Pr1 0.000 0.000 0.000
Sb1 0.000 0.000 0.500
Os1 0.250 0.250 0.250
# - total magnetic moment (μB/atom) = 0.002
# - total DFT energy (no corrections) (eV per atom) = -6.790

=====

No. 6
# GGA-PBE PrScOs, optimized geometry
data_PrScOs
_cell_length_a 6.540
_cell_length_b 6.540
_cell_length_c 6.540
_cell_angle_alpha 90.00
_cell_angle_beta 90.00
_cell_angle_gamma 90.00
_symmetry_space_group_name_H-M 'F -4 3 m'
_symmetry_Int_Tables_number 216
_symmetry_space_group_name_Hall 'F -4 2 3'
loop_
_atom_site_label
_atom_site_fract_x
_atom_site_fract_y
_atom_site_fract_z
Pr1 0.000 0.000 0.000
Sc1 0.250 0.250 0.750
Os1 0.000 0.000 0.500
# - total magnetic moment (μB/atom) = 0.000
# - ΔE_f (eV per atom) = 0.537

=====

No. 7
# GGA-PBE PrSi2Os2, optimized geometry
data_PrSi2Os2
_cell_length_a 4.211
_cell_length_b 4.211
_cell_length_c 9.961
_cell_angle_alpha 90.00
_cell_angle_beta 90.00
_cell_angle_gamma 90.00
_symmetry_space_group_name_H-M 'I 4/m m m'
_symmetry_Int_Tables_number 139
_symmetry_space_group_name_Hall '-I 4 2'
loop_
_atom_site_label
_atom_site_fract_x
_atom_site_fract_y
_atom_site_fract_z
Pr1 0.000 0.000 0.000
Si1 0.000 0.000 0.367
Os1 0.000 0.500 0.250
# - total magnetic moment (μB/atom) = 0.001
# - total DFT energy (no corrections) (eV per atom) = -8.299

=====

No. 8
# GGA-PBE SrPrSi2Os2, optimized geometry
data_SrPrSi2Os2
_cell_length_a 4.257
_cell_length_b 4.257
_cell_length_c 7.292
_cell_angle_alpha 90.00
_cell_angle_beta 90.00
_cell_angle_gamma 90.00
_symmetry_space_group_name_H-M 'P 4 m m'
_symmetry_Int_Tables_number 99
loop_
_symmetry_equiv_pos_as_xyz
'x,y,z'
'-y,x,z'
'-x,-y,z'
'y,-x,z'
'-x,y,z'
'y,x,z'
'x,-y,z'
'-y,-x,z'
loop_
_atom_site_label
_atom_site_fract_x
_atom_site_fract_y
_atom_site_fract_z
Sr1 0.000 0.000 0.000
Pr1 0.500 0.500 0.358
Si1 0.000 0.000 0.501
Si2 0.500 0.500 0.825
Os1 0.000 0.500 0.662
# - total magnetic moment (μB/atom) = 0.002
# - total DFT energy (no corrections) (eV per atom) = -7.114